Entry 1
{"formula": "Cr2SbSe", "functional": "PBEsol", "state": "optimized geometry", "lattice": [[5.6195, 0.0000, 0.0000], [0.0000, 5.6195, 0.0000], [-2.8098, -2.8098, 6.2932]], "species": ["Sb", "Sb", "Se", "Se", "Cr", "Cr", "Cr", "Cr"], "frac_coords": [[0.2500, 0.7500, 0.5000], [0.0000, 0.0000, 0.0000], [0.7500, 0.2500, 0.5000], [0.5000, 0.5000, 0.0000], [0.4089, 0.8750, 0.2500], [0.8411, 0.3750, 0.2500], [0.1250, 0.1589, 0.7500], [0.6250, 0.5911, 0.7500]], "dos_at_fermi_per_ev_atom": 0.43}

=====

Entry 2
{"formula": "Cr2SbSe", "functional": "PBEsol", "state": "optimized geometry", "lattice": [[3.0222, 0.0000, 0.0000], [1.5111, 2.6173, 0.0000], [1.5111, 0.8724, 9.2212]], "species": ["Cr", "Cr", "Sb", "Se"], "frac_coords": [[0.0058, 0.0058, 0.9826], [0.7354, 0.7354, 0.7939], [0.4792, 0.4792, 0.5624], [0.2796, 0.2796, 0.1612]], "dos_at_fermi_per_ev_atom": 0.90}

=====

Relative energy of each structure, in eV/atom: entry 1 0.113; entry 2 0.000.

=====

Entry 1
{"formula": "SrCrSb2", "functional": "PBEsol", "state": "optimized geometry", "lattice": [[-2.4999, -1.9799, 1.7432], [1.7488, -3.1553, -1.0759], [4.6490, 2.7683, 6.0229]], "species": ["Cr", "Sb", "Sb", "Sr"], "frac_coords": [[0.2940, 0.7940, 0.5880], [0.9227, 0.9227, 0.8454], [0.7292, 0.2292, 0.4583], [0.5541, 0.5541, 0.1083]], "dos_at_fermi_per_ev_atom": 0.52}

=====

Entry 2
{"formula": "SrCrSb2", "functional": "PBEsol", "state": "optimized geometry", "lattice": [[-0.9398, -4.4189, 3.0968], [1.2398, -3.2362, -4.2415], [8.2531, 3.7847, 3.0614]], "species": ["Sb", "Sb", "Sb", "Sb", "Cr", "Cr", "Sr", "Sr"], "frac_coords": [[0.5121, 0.8750, 0.2500], [0.7379, 0.3750, 0.2500], [0.1250, 0.2621, 0.7500], [0.6250, 0.4879, 0.7500], [0.7500, 0.2500, 0.5000], [0.5000, 0.5000, 0.0000], [0.2500, 0.7500, 0.5000], [0.0000, 0.0000, 0.0000]], "dos_at_fermi_per_ev_atom": 0.37}

=====

Relative energy of each structure, in eV/atom: entry 1 0.000; entry 2 0.125.

=====

Entry 1
{"formula": "ZnCrSb2Te", "functional": "PBEsol", "state": "optimized geometry", "lattice": [[-1.3961, -3.6006, -3.1314], [-0.1823, -3.2200, 3.7838], [-4.8898, 1.2073, 0.7919]], "species": ["Sb", "Sb", "Zn", "Te", "Cr"], "frac_coords": [[0.0000, 0.5000, 0.0000], [0.5000, 0.0000, 0.0000], [0.5000, 0.5000, 0.5000], [0.0000, 0.0000, 0.5000], [0.0000, 0.0000, 0.0000]], "dos_at_fermi_per_ev_atom": 0.83}

=====

Entry 2
{"formula": "ZnCrSb2Te", "functional": "PBEsol", "state": "optimized geometry", "lattice": [[-0.7200, -4.1779, 2.7780], [2.0199, -2.8104, -3.7030], [4.7938, 0.6065, 2.1546]], "species": ["Sb", "Sb", "Zn", "Te", "Cr"], "frac_coords": [[0.0000, 0.5000, 0.0000], [0.5000, 0.0000, 0.0000], [0.0000, 0.0000, 0.0000], [0.0000, 0.0000, 0.5000], [0.5000, 0.5000, 0.5000]], "dos_at_fermi_per_ev_atom": 0.76}

=====

Relative energy of each structure, in eV/atom: entry 1 0.000; entry 2 0.369.

=====

Entry 1
{"formula": "Tl2CrSb", "functional": "PBEsol", "state": "optimized geometry", "lattice": [[-0.1507, 2.7351, 1.8936], [-1.1359, -0.1983, 3.1240], [8.8251, -0.8973, 4.9268]], "species": ["Cr", "Sb", "Tl", "Tl"], "frac_coords": [[0.0000, 0.0000, 0.0000], [0.5000, 0.5000, 0.5000], [0.2586, 0.2586, 0.2242], [0.7414, 0.7414, 0.7758]], "dos_at_fermi_per_ev_atom": 0.57}

=====

Entry 2
{"formula": "Tl2CrSb", "functional": "PBEsol", "state": "optimized geometry", "lattice": [[-2.0313, -2.0758, 2.6018], [1.3147, -3.3006, -1.6069], [4.9828, 0.0655, 3.9424]], "species": ["Cr", "Sb", "Tl", "Tl"], "frac_coords": [[0.5000, 0.5000, 0.0000], [0.5000, 0.5000, 0.5000], [0.0000, 0.0000, 0.7583], [0.0000, 0.0000, 0.2417]], "dos_at_fermi_per_ev_atom": 0.57}

=====

Entry 3
{"formula": "Tl2CrSb", "functional": "PBEsol", "state": "optimized geometry", "lattice": [[5.1864, 0.0000, 0.0000], [2.5932, 4.4915, 0.0000], [2.5932, 1.4972, 4.2346]], "species": ["Cr", "Sb", "Tl", "Tl"], "frac_coords": [[0.5000, 0.5000, 0.5000], [0.2500, 0.2500, 0.2500], [0.0000, 0.0000, 0.0000], [0.7500, 0.7500, 0.7500]], "dos_at_fermi_per_ev_atom": 0.58}

=====

Relative energy of each structure, in eV/atom: entry 1 0.074; entry 2 0.057; entry 3 0.000.